# 1
{
  "formula": "InRhSN2",
  "functional": "PBE",
  "state": "relaxed",
  "n_ef_per_ev_fu": 2.9,
  "formation_energy_uncorrected_ev_per_atom": 0.848,
  "dft_energy_ha_per_atom": -0.1957,
  "cell": [[3.862, 0.000, 0.000], [0.000, 3.862, 0.000], [0.000, 0.000, 5.235]],
  "species": ["In", "Rh", "S", "N", "N"],
  "frac_coords": [[0.000, 0.000, 0.000], [0.500, 0.500, 0.500], [0.500, 0.500, 0.000], [0.000, 0.500, 0.500], [0.500, 0.000, 0.500]]
}



# 2
{
  "formula": "CdSiPb3",
  "functional": "PBE",
  "state": "relaxed",
  "n_ef_per_ev_fu": 4.3,
  "formation_energy_uncorrected_ev_per_atom": 0.864,
  "dft_energy_ha_per_atom": -0.0966,
  "cell": [[5.604, 0.000, 0.000], [0.000, 5.604, 0.000], [0.000, 0.000, 5.604]],
  "species": ["Cd", "Si", "Pb", "Pb", "Pb"],
  "frac_coords": [[0.000, 0.000, 0.000], [0.500, 0.500, 0.500], [0.000, 0.000, 0.500], [0.000, 0.500, 0.000], [0.500, 0.000, 0.000]]
}



# 3
{
  "formula": "MgRuW",
  "functional": "PBE",
  "state": "relaxed",
  "n_ef_per_ev_fu": 3.0,
  "dft_energy_ha_per_atom": -0.2847,
  "formation_energy_ev_per_atom": 0.19,
  "cell": [[4.394, 0.000, 0.000], [-2.197, 3.806, 0.000], [0.000, 0.000, 2.814]],
  "species": ["Mg", "Ru", "W"],
  "frac_coords": [[0.000, 0.000, 0.000], [0.667, 0.333, 0.352], [0.333, 0.667, 0.587]]
}



Number 1: total moment 0.1181 μB per atom. Number 2: total moment 0.0000 μB per atom. Number 3: total moment 0.0000 μB per atom.